# CsInSn4 | Alexandria via LeMat-Bulk | GGA-PBE | relaxed
# Theoretical density ... 6.24 Mg/m³
# Energy above the lowest structure with this stoichiometry ... 13.56 kJ/mol of atoms
# N(E_F) ... 6.81 states/eV/f.u.
# Final energy ... -77.7 eV for the cell shown
data_CsInSn4
_cell_length_a 9.163
_cell_length_b 9.163
_cell_length_c 9.163
_cell_angle_alpha 90.00
_cell_angle_beta 90.00
_cell_angle_gamma 90.00
_symmetry_space_group_name_H-M 'F -4 3 m'
_symmetry_Int_Tables_number 216
_symmetry_space_group_name_Hall 'F -4 2 3'
loop_
_atom_site_label
_atom_site_type_symbol
_atom_site_fract_x
_atom_site_fract_y
_atom_site_fract_z
Cs1 Cs 0.000 0.000 0.000
In1 In 0.250 0.250 0.750
Sn1 Sn 0.125 0.125 0.375